Here is a relaxed structure of Mn2CrRh from Alexandria. Energies are from GGA-PBE.

Lattice parameters (Å, degrees): 2.5972 2.5972 24.7037 90.00 90.00 120.00
Closest atoms and distances in Å follow each position.
Space group R-3m (No. 166, hexagonal axes)
Inequivalent atoms, fractional coordinates:
Mn 0.0000 0.0000 0.2465 [6 per cell]  3 Cr 2.48, 6 Mn 2.60, 3 Rh 2.62
Cr 0.0000 0.0000 0.5000 [3 per cell]  6 Mn 2.48, 6 Cr 2.60
Rh 0.0000 0.0000 0.0000 [3 per cell]  6 Rh 2.60, 6 Mn 2.62

N(E_F) = 1.565 states/eV per atom
Density = 9.140 g/cm³
DFT total energy = -103.90 eV for the cell shown
Formation enthalpy at 0 K = 0.17 eV per atom

Here is a relaxed structure of MnCrRh2 from Alexandria. Energies are from GGA-PBE.

Lattice parameters (Å, degrees): 2.6441 2.6441 7.3910 90.00 90.00 90.00
Closest atoms and distances in Å follow each position.
Space group P4mm (No. 99)
Inequivalent atoms, fractional coordinates:
Mn 0.0000 0.0000 0.0000 [1 per cell]  4 Rh 2.56, 4 Cr 2.58, 4 Mn 2.64
Cr 0.5000 0.5000 0.7594 [1 per cell]  4 Rh 2.56, 4 Mn 2.58, 4 Cr 2.64
Rh 0.0000 0.0000 0.5229 [1 per cell]  4 Cr 2.56, 8 Rh 2.64-2.82
Rh 0.5000 0.5000 0.2373 [1 per cell]  4 Mn 2.56, 8 Rh 2.64-2.82

N(E_F) = 0.937 states/eV per atom
Density = 10.050 g/cm³
DFT total energy = -33.46 eV for the cell shown
Formation enthalpy at 0 K = 0.01 eV per atom

Here is a relaxed structure of Mn2CrRh from Alexandria. Energies are from GGA-PBE.

Lattice parameters (Å, degrees): 8.5406 2.6164 4.4797 90.00 100.90 90.00
Closest atoms and distances in Å follow each position.
Space group C2/m (No. 12)
Inequivalent atoms, fractional coordinates:
Mn 0.2478 0.0000 0.2429 [4 per cell]  6 Mn 2.55-2.64, 3 Cr 2.55-2.59, 3 Rh 2.59-2.60
Cr 0.0000 0.5000 0.0000 [2 per cell]  6 Mn 2.55-2.59, 4 Rh 2.59, 2 Cr 2.62
Rh 0.0000 0.0000 0.5000 [2 per cell]  6 Mn 2.59-2.60, 4 Cr 2.59, 2 Rh 2.62

N(E_F) = 1.177 states/eV per atom
Density = 8.946 g/cm³
DFT total energy = -69.98 eV for the cell shown
Formation enthalpy at 0 K = 0.08 eV per atom

Here is a relaxed structure of Mn2CrRh5 from Alexandria. Energies are from GGA-PBE.

Lattice parameters (Å, degrees): 4.2386 7.3963 14.8012 90.00 90.00 90.00
Closest atoms and distances in Å follow each position.
Space group Cmcm (No. 63)
Inequivalent atoms, fractional coordinates:
Mn 0.0000 0.2415 0.0713 [8 per cell]  5 Rh 2.44-2.64
Cr 0.0000 0.4244 0.7500 [4 per cell]  5 Rh 2.45-2.56
Rh 0.0000 0.0905 0.6627 [8 per cell]  7 Rh 2.58-2.79, 3 Cr 2.77-2.79, 3 Mn 2.80
Rh 0.0000 0.2442 0.2500 [4 per cell]  3 Cr 2.45-2.46, 2 Mn 2.64
Rh 0.0000 0.4205 0.5769 [8 per cell]  4 Mn 2.44-2.56, 1 Rh 2.56, 1 Cr 2.56

N(E_F) = 1.254 states/eV per atom
Density = 9.682 g/cm³
DFT total energy = -254.70 eV for the cell shown
Formation enthalpy at 0 K = 0.13 eV per atom